[1]
First-principles (meta-GGA SCAN) data for Sr2Mn at its PBEsol-relaxed geometry, as listed in the Alexandria database.

Values from the calculation:
As for the space-group type: P-3m1 (164). The value obtained for the spin magnetization is 3.48 μB/cell. The formation energy from the elements is 0.36 eV per atom. The mass density comes out at 3403 kg/m³.

Cell: 4.0390 4.0390 7.9500 Å, 90.00 90.00 120.00°
Atoms (fractional coordinates):
1 Sr 0.3333 0.6667 0.2692
2 Sr 0.6667 0.3333 0.7308
3 Mn 0.0000 0.0000 0.0000



[2]
First-principles (meta-GGA SCAN) data for SrMn4 at its PBEsol-relaxed geometry, as listed in the Alexandria database.

Values from the calculation:
As for the space-group type: Im-3m (229). The value obtained for the spin magnetization is 33.45 μB/cell. The formation energy from the elements is 1.60 eV per atom. The mass density comes out at 4447 kg/m³.

Cell: 6.1228 6.1228 6.1228 Å, 90.00 90.00 90.00°
Atoms (fractional coordinates):
1 Sr 0.0000 0.0000 0.0000
2 Sr 0.5000 0.5000 0.5000
3 Mn 0.2500 0.2500 0.2500
4 Mn 0.2500 0.2500 0.7500
5 Mn 0.2500 0.7500 0.2500
6 Mn 0.2500 0.7500 0.7500
7 Mn 0.7500 0.2500 0.2500
8 Mn 0.7500 0.2500 0.7500
9 Mn 0.7500 0.7500 0.2500
10 Mn 0.7500 0.7500 0.7500



[3]
First-principles (meta-GGA SCAN) data for SrTa2Mn at its PBEsol-relaxed geometry, as listed in the Alexandria database.

Values from the calculation:
As for the space-group type: P2/m (10). The value obtained for the spin magnetization is 0.00 μB/cell. The formation energy from the elements is 0.55 eV per atom. The energy above the most stable polymorph in this dataset comes out at 0 meV per atom. The mass density comes out at 10593 kg/m³.

Cell: 2.9587 2.9594 9.0323 Å, 90.00 90.69 90.00°
Atoms (fractional coordinates):
1 Sr 0.0000 0.0000 0.0000
2 Ta 0.4870 0.5000 0.6704
3 Ta 0.5130 0.5000 0.3296
4 Mn 0.0000 0.0000 0.5000